# GdBi

A relaxed GdBi crystal (GGA-PBE, Alexandria).

Cell lengths 3.9210, 3.9210, 3.9210 Å; angles 90.00, 90.00, 90.00 degrees
With the nearest neighbours (Å) after each atom.
Element x y z (fractional)
Gd (0.0000, 0.0000, 0.0000)  8 Bi 3.40
Bi (0.5000, 0.5000, 0.5000)  8 Gd 3.40

Properties
Energy above the lowest structure with this stoichiometry = 221 meV per atom
DFT total energy = -9.66 eV/atom
Total moment = 7.26 μB/f.u.
Energy of formation = -0.681 eV per atom
Space-group type = No. 221